Record 1
This record from Alexandria via LeMat-Bulk describes V8Ga6Fe after structural relaxation. The functional is PBE.

Output
SG: No. 148
VASP energy in eV/atom: -6.429
ΔE_f in kJ/mol of formula units: 303
Total magnetization in μB per atom: 0.1381

abc: 6.6560 6.6560 6.6560
angles: 64.91 64.91 64.91
Sites, in units of the cell vectors:
V  0.0192  0.2800  0.5521
V  0.1797  0.1797  0.1797
V  0.2800  0.5521  0.0192
V  0.4479  0.9808  0.7200
V  0.5521  0.0192  0.2800
V  0.7200  0.4479  0.9808
V  0.8203  0.8203  0.8203
V  0.9808  0.7200  0.4479
Ga  0.1531  0.4026  0.7733
Ga  0.2267  0.8469  0.5974
Ga  0.4026  0.7733  0.1531
Ga  0.5974  0.2267  0.8469
Ga  0.7733  0.1531  0.4026
Ga  0.8469  0.5974  0.2267
Fe  0.5000  0.5000  0.5000



Record 2
This record from Alexandria via LeMat-Bulk describes Ac2TaAl3O12 after structural relaxation. The functional is PBE.

Output
SG: No. 166
VASP energy in eV/atom: -7.436
Energy relative to the elements, uncorrected in eV/f.u.: -43.1
Total magnetization in μB per atom: 0.2254

abc: 7.0583 7.0583 7.0583
angles: 56.52 56.52 56.52
Sites, in units of the cell vectors:
Ac  0.1092  0.1092  0.1092
Ac  0.8908  0.8908  0.8908
Ta  0.5000  0.5000  0.5000
Al  0.0000  0.5000  0.5000
Al  0.5000  0.0000  0.5000
Al  0.5000  0.5000  0.0000
O  0.1515  0.5847  0.5847
O  0.1617  0.1617  0.5968
O  0.1617  0.5968  0.1617
O  0.4032  0.8383  0.8383
O  0.4153  0.4153  0.8485
O  0.4153  0.8485  0.4153
O  0.5847  0.1515  0.5847
O  0.5847  0.5847  0.1515
O  0.5968  0.1617  0.1617
O  0.8383  0.4032  0.8383
O  0.8383  0.8383  0.4032
O  0.8485  0.4153  0.4153



Which formula does entry 2 have? Ac2TaAl3O12